No. 1
VASP calculation (GGA-PBE) on YAgTe3Pb after structural relaxation.

```
YAgTe3Pb
1.0
9.0814 0.0000 0.0000
0.0000 4.5623 0.0000
0.0000 0.0000 17.8904
Y Te Ag Pb
4 12 4 4
direct
0.7553 0.2500 0.5331
0.2553 0.2500 0.9669
0.2447 0.7500 0.4669
0.7447 0.7500 0.0331
0.3048 0.2500 0.7923
0.6952 0.7500 0.2077
0.0273 0.7500 0.9132
0.8893 0.7500 0.4397
0.6107 0.2500 0.9397
0.1952 0.7500 0.2923
0.8048 0.2500 0.7077
0.4727 0.2500 0.4132
0.5273 0.7500 0.5868
0.1107 0.2500 0.5603
0.3893 0.7500 0.0603
0.9727 0.2500 0.0868
0.3751 0.2500 0.6393
0.6249 0.7500 0.3607
0.1249 0.7500 0.1393
0.8751 0.2500 0.8607
0.5681 0.7500 0.7677
0.0681 0.7500 0.7323
0.4319 0.2500 0.2323
0.9319 0.2500 0.2677
```

For the polymorph energy (0 for the lowest one), the calculation gives 62 meV per atom. Its electronic total energy is -0.1622 Ha/atom.



No. 2
VASP calculation (GGA-PBE) on DyAgPbSe3 after structural relaxation.

```
DyAgPbSe3
1.0
-9.5132 5.0619 0.2040
-1.4260 -2.7896 2.7213
4.4032 7.8576 10.3619
Se Pb Ag Dy
12 4 4 4
direct
0.5342 0.2500 0.3876
0.4658 0.7500 0.6124
0.0342 0.2500 0.1124
0.2347 0.7500 0.3416
0.2653 0.2500 0.8416
0.7347 0.7500 0.1584
0.5716 0.7500 0.8970
0.0716 0.7500 0.6030
0.7653 0.2500 0.6584
0.4284 0.2500 0.1030
0.9658 0.7500 0.8876
0.9284 0.2500 0.3970
0.7764 0.2500 0.9917
0.7236 0.7500 0.4917
0.2764 0.2500 0.5083
0.2236 0.7500 0.0083
0.2379 0.2500 0.2189
0.7621 0.7500 0.7811
0.7379 0.2500 0.2811
0.2621 0.7500 0.7189
0.4820 0.7500 0.2425
0.5180 0.2500 0.7575
0.0180 0.2500 0.7425
0.9820 0.7500 0.2575
```

For the polymorph energy (0 for the lowest one), the calculation gives 6 meV per atom. Its electronic total energy is -0.1678 Ha/atom.